1.
Below is an optimized crystal structure of LiPdI, with properties calculated at the PBE level.

Lattice parameters (Å, degrees): 6.096 4.845 4.627 90.00 88.07 90.00
Fractional positions:
I 0.726 0.909 0.201
I 0.274 0.409 0.799
Pd 0.030 0.521 0.334
Pd 0.970 0.021 0.666
Li 0.239 0.982 0.210
Li 0.761 0.482 0.790

Properties
offset from the most stable computed form = 18 kJ/mol of formula units
total magnetization = 0.0 μB/f.u.
Fermi-level density of states = 0.000 states/eV per atom
VASP energy = -3.38 eV per atom
formation energy without anion corrections = -0.494 eV/atom

---

2.
Below is an optimized crystal structure of Sr2LaTl, with properties calculated at the PBE level.

Lattice parameters (Å, degrees): 6.480 8.454 3.970 62.10 89.94 120.59
Fractional positions:
La 0.500 0.000 0.500
Sr 0.000 0.000 0.000
Sr 0.000 0.500 0.500
Tl 0.500 0.500 0.000

Properties
offset from the most stable computed form = 54 kJ/mol of formula units
total magnetization = 0.0 μB/f.u.
Fermi-level density of states = 0.998 states/eV per atom
VASP energy = -2.69 eV per atom
ΔH_f (0 K) = -0.085 eV/f.u.

---

3.
Below is an optimized crystal structure of PmHoPu2, with properties calculated at the PBE level.

Lattice parameters (Å, degrees): 5.051 4.848 4.848 90.00 90.00 90.00
Fractional positions:
Pm 0.500 0.500 0.500
Ho 0.500 0.000 0.000
Pu 0.000 0.000 0.500
Pu 0.000 0.500 0.000

Properties
offset from the most stable computed form = 2 kJ/mol of formula units
total magnetization = 12.6 μB/f.u.
Fermi-level density of states = 3.901 states/eV per atom
VASP energy = -9.30 eV per atom
ΔH_f (0 K) = 0.795 eV/f.u.

---

4.
Below is an optimized crystal structure of KSi3Ag, with properties calculated at the PBE level.

Lattice parameters (Å, degrees): 5.038 5.038 5.038 90.00 90.00 90.00
Fractional positions:
K 0.500 0.500 0.500
Si 0.000 0.500 0.000
Si 0.000 0.000 0.500
Si 0.500 0.000 0.000
Ag 0.000 0.000 0.000

Properties
offset from the most stable computed form = 0 kJ/mol of formula units
total magnetization = 0.0 μB/f.u.
Fermi-level density of states = 0.542 states/eV per atom
VASP energy = -3.18 eV per atom
formation energy without anion corrections = 0.867 eV/atom

---

5.
Below is an optimized crystal structure of Co4ReRh, with properties calculated at the PBE level.

Lattice parameters (Å, degrees): 4.659 4.659 4.659 60.00 60.00 60.00
Fractional positions:
Co 0.875 0.375 0.375
Co 0.375 0.375 0.875
Co 0.375 0.875 0.375
Co 0.375 0.375 0.375
Re 0.750 0.750 0.750
Rh 0.000 0.000 0.000

Properties
total magnetization = 5.1 μB/f.u.
Fermi-level density of states = 1.997 states/eV per atom
VASP energy = -7.93 eV per atom
ΔH_f (0 K) = 0.645 eV/f.u.

---

6.
Below is an optimized crystal structure of PmEuLuSn, with properties calculated at the PBE level.

Lattice parameters (Å, degrees): 5.519 5.519 5.519 60.00 60.00 60.00
Fractional positions:
Eu 0.000 0.000 0.000
Lu 0.250 0.250 0.250
Sn 0.750 0.750 0.750
Pm 0.500 0.500 0.500

Properties
total magnetization = 8.0 μB/f.u.
Fermi-level density of states = 1.249 states/eV per atom
VASP energy = -6.11 eV per atom
ΔH_f (0 K) = -0.906 eV/f.u.

---

7.
Below is an optimized crystal structure of NbSe2I, with properties calculated at the PBE level.

Lattice parameters (Å, degrees): 7.197 7.197 7.316 60.54 60.54 90.00
Fractional positions:
I 0.000 0.000 0.000
I 0.750 0.250 0.500
Nb 0.500 0.500 0.000
Nb 0.250 0.750 0.500
Se 0.516 0.125 0.250
Se 0.234 0.625 0.250
Se 0.375 0.484 0.750
Se 0.875 0.766 0.750

Properties
offset from the most stable computed form = 157 kJ/mol of formula units
total magnetization = 0.0 μB/f.u.
Fermi-level density of states = 0.143 states/eV per atom
VASP energy = -4.79 eV per atom
formation energy without anion corrections = -0.139 eV/atom

---

8.
Below is an optimized crystal structure of PrTh2Cu6, with properties calculated at the PBE level.

Lattice parameters (Å, degrees): 3.612 7.542 7.542 120.00 89.98 90.00
Fractional positions:
Pr 0.000 0.000 0.000
Th 0.000 0.333 0.667
Th 0.000 0.667 0.333
Cu 0.500 0.335 0.335
Cu 0.500 0.665 0.665
Cu 0.500 0.000 0.665
Cu 0.500 0.665 0.000
Cu 0.500 0.335 0.000
Cu 0.500 0.000 0.335

Properties
total magnetization = 0.0 μB/f.u.
Fermi-level density of states = 0.879 states/eV per atom
VASP energy = -5.10 eV per atom
ΔH_f (0 K) = -1.713 eV/f.u.

---

9.
Below is an optimized crystal structure of SrNdMg2In4, with properties calculated at the PBE level.

Lattice parameters (Å, degrees): 5.340 5.340 9.282 73.28 73.28 60.00
Fractional positions:
Sr 0.000 0.000 0.000
Nd 0.500 0.500 0.500
Mg 0.750 0.750 0.749
Mg 0.250 0.250 0.251
In 0.377 0.377 0.870
In 0.874 0.874 0.379
In 0.126 0.126 0.621
In 0.623 0.623 0.130

Properties
total magnetization = 0.0 μB/f.u.
Fermi-level density of states = 0.386 states/eV per atom
VASP energy = -2.88 eV per atom
ΔH_f (0 K) = -2.410 eV/f.u.

---

10.
Below is an optimized crystal structure of Ac2Tb7Dy3, with properties calculated at the PBE level.

Lattice parameters (Å, degrees): 3.594 6.414 18.245 75.96 90.00 90.00
Fractional positions:
Ac 0.500 0.616 0.326
Ac 0.500 0.384 0.674
Tb 0.500 0.239 0.501
Tb 0.500 0.761 0.499
Tb 0.000 0.562 0.159
Tb 0.000 0.000 0.000
Tb 0.000 0.438 0.841
Tb 0.500 0.932 0.837
Tb 0.500 0.068 0.163
Dy 0.500 0.500 0.000
Dy 0.000 0.110 0.342
Dy 0.000 0.890 0.658

Properties
total magnetization = 0.0 μB/f.u.
Fermi-level density of states = 1.503 states/eV per atom
VASP energy = -4.43 eV per atom
ΔH_f (0 K) = 1.275 eV/f.u.

---

11.
Below is an optimized crystal structure of NdHoTmSc, with properties calculated at the PBE level.

Lattice parameters (Å, degrees): 5.551 5.551 5.551 60.00 60.00 60.00
Fractional positions:
Sc 0.750 0.750 0.750
Tm 0.250 0.250 0.250
Nd 0.500 0.500 0.500
Ho 0.000 0.000 0.000

Properties
offset from the most stable computed form = 18 kJ/mol of formula units
total magnetization = 0.0 μB/f.u.
Fermi-level density of states = 1.456 states/eV per atom
VASP energy = -4.93 eV per atom
ΔH_f (0 K) = 0.415 eV/f.u.

---

12.
Below is an optimized crystal structure of AcLa15Nd4, with properties calculated at the PBE level.

Lattice parameters (Å, degrees): 5.270 5.270 26.465 90.00 90.00 90.00
Fractional positions:
Ac 0.000 0.000 0.000
La 0.500 0.500 0.000
La 0.500 0.500 0.203
La 0.500 0.500 0.401
La 0.500 0.500 0.599
La 0.500 0.500 0.797
La 0.500 0.000 0.103
La 0.500 0.000 0.301
La 0.500 0.000 0.500
La 0.500 0.000 0.699
La 0.500 0.000 0.897
La 0.000 0.500 0.103
La 0.000 0.500 0.301
La 0.000 0.500 0.500
La 0.000 0.500 0.699
La 0.000 0.500 0.897
Nd 0.000 0.000 0.202
Nd 0.000 0.000 0.401
Nd 0.000 0.000 0.599
Nd 0.000 0.000 0.798

Properties
total magnetization = 0.0 μB/f.u.
Fermi-level density of states = 1.915 states/eV per atom
VASP energy = -4.84 eV per atom
ΔH_f (0 K) = 0.255 eV/f.u.